## KGe4Se7 (PBE)

Data for crystalline KGe4Se7 at its relaxed geometry.

Cell lengths 7.5036, 6.4526, 15.6437 Å; angles 90.00, 90.00, 90.00 degrees
Last column: nearest neighbours and their distance in Å.
Element x y z (fractional)
Ge  0.6083  0.6955  0.1210  4 Se 2.39-2.44
Ge  0.6083  0.6955  0.8790  4 Se 2.39-2.44
Ge  0.6199  0.2256  0.2604  3 Se 2.50-2.61
Ge  0.1083  0.3045  0.6210  4 Se 2.39-2.44
Ge  0.1199  0.7744  0.2396  3 Se 2.50-2.61
Ge  0.1199  0.7744  0.7604  3 Se 2.50-2.61
Ge  0.6199  0.2256  0.7396  3 Se 2.50-2.61
Ge  0.1083  0.3045  0.3790  4 Se 2.39-2.44
Se  0.9684  0.1307  0.5000  2 Ge 2.44
Se  0.4920  0.3511  0.1213  2 Ge 2.39-2.51
Se  0.9920  0.6489  0.3787  2 Ge 2.39-2.51
Se  0.9246  0.7081  0.1044  2 Ge 2.39-2.61
Se  0.5110  0.8597  0.7483  2 Ge 2.42-2.50
Se  0.0110  0.1403  0.2483  2 Ge 2.42-2.50
Se  0.4246  0.2919  0.3956  2 Ge 2.39-2.61
Se  0.4684  0.8693  0.0000  2 Ge 2.44
Se  0.0110  0.1403  0.7517  2 Ge 2.42-2.50
Se  0.9246  0.7081  0.8956  2 Ge 2.39-2.61
Se  0.9920  0.6489  0.6213  2 Ge 2.39-2.51
Se  0.4246  0.2919  0.6044  2 Ge 2.39-2.61
Se  0.5110  0.8597  0.2517  2 Ge 2.42-2.50
Se  0.4920  0.3511  0.8787  2 Ge 2.39-2.51
K  0.8749  0.2007  0.0000  7 Se 3.58-3.73
K  0.3749  0.7993  0.5000  7 Se 3.58-3.73

Summary:
Uncorrected formation energy ... -0.36 eV per atom
SG ... Pmn2_1 (31)